(1)
The following is a DFT calculation (PBE-GGA) of an optimized crystal structure of Cs2Rb3PaSe6.

Output
The energy relative to the elements, uncorrected is -1.132 eV/atom.

Lattice parameters (Å, degrees): 8.6408 8.6408 8.2791 100.78 100.78 119.22
With the nearest neighbours (Å) after each atom.
Fractional coordinates of all 12 atoms:
Cs1 0.3343 0.6657 0.0000  6 Se 3.61-3.69
Cs2 0.6657 0.3343 0.0000  6 Se 3.61-3.69
Rb1 0.1717 0.8283 0.5000  4 Se 3.49
Rb2 0.8283 0.1717 0.5000  4 Se 3.49
Rb3 0.5000 0.5000 0.5000  4 Se 3.42
Pa1 0.0000 0.0000 0.0000  6 Se 2.77-2.80
Se1 0.9299 0.6654 0.7855  1 Pa 2.80
Se2 0.8129 0.8129 0.2072  1 Pa 2.77
Se3 0.0701 0.3346 0.2145  1 Pa 2.80
Se4 0.6654 0.9299 0.7855  1 Pa 2.80
Se5 0.1871 0.1871 0.7928  1 Pa 2.77
Se6 0.3346 0.0701 0.2145  1 Pa 2.80

(2)
The following is a DFT calculation (PBE-GGA) of an optimized crystal structure of Cs2RbPa2Te5.

Output
The energy relative to the elements, uncorrected is -0.922 eV/atom.

Lattice parameters (Å, degrees): 4.0815 14.2063 14.2063 90.00 90.00 90.00
With the nearest neighbours (Å) after each atom.
Fractional coordinates of all 20 atoms:
Cs1 0.0000 0.6831 0.1831  3 Pa 4.02-4.36, 2 Cs 4.08, 10 Te 4.11-4.32
Cs2 0.0000 0.3169 0.8169  3 Pa 4.02-4.36, 2 Cs 4.08, 10 Te 4.11-4.32
Cs3 0.0000 0.1831 0.3169  3 Pa 4.02-4.36, 2 Cs 4.08, 10 Te 4.11-4.32
Cs4 0.0000 0.8169 0.6831  3 Pa 4.02-4.36, 2 Cs 4.08, 10 Te 4.11-4.32
Rb1 0.0000 0.0000 0.0000  8 Te 3.93, 2 Rb 4.08
Rb2 0.0000 0.5000 0.5000  8 Te 3.93, 2 Rb 4.08
Pa1 0.0000 0.1167 0.6167  6 Te 3.10-3.11
Pa2 0.0000 0.8833 0.3833  6 Te 3.10-3.11
Pa3 0.0000 0.6167 0.8833  6 Te 3.10-3.11
Pa4 0.0000 0.3833 0.1167  6 Te 3.10-3.11
Te1 0.5000 0.2257 0.0693  2 Pa 3.10
Te2 0.5000 0.7743 0.9307  2 Pa 3.10
Te3 0.5000 0.0693 0.7743  2 Pa 3.10
Te4 0.5000 0.7257 0.4307  2 Pa 3.10
Te5 0.5000 0.9307 0.2257  2 Pa 3.10
Te6 0.5000 0.2743 0.5693  2 Pa 3.10
Te7 0.5000 0.5693 0.7257  2 Pa 3.10
Te8 0.5000 0.4307 0.2743  2 Pa 3.10
Te9 0.5000 0.5000 0.0000  4 Pa 3.11
Te10 0.5000 0.0000 0.5000  4 Pa 3.11

(3)
The following is a DFT calculation (PBE-GGA) of an optimized crystal structure of CsRb2Pa3Te8.

Output
The energy relative to the elements, uncorrected is -0.906 eV/atom.

Lattice parameters (Å, degrees): 9.1766 9.1766 10.5524 64.23 64.23 60.00
With the nearest neighbours (Å) after each atom.
Fractional coordinates of all 14 atoms:
Cs1 0.8593 0.8593 0.4220  4 Te 3.63-3.65
Rb1 0.1371 0.1371 0.5887  4 Te 3.55-3.66
Rb2 0.4996 0.4996 0.5011  6 Te 3.78
Pa1 0.4990 0.0012 0.0009  6 Te 3.03-3.14
Pa2 0.0012 0.4990 0.0009  6 Te 3.03-3.14
Pa3 0.4990 0.4990 0.0009  6 Te 3.03-3.14
Te1 0.2707 0.2707 0.1879  3 Pa 3.14
Te2 0.7261 0.7261 0.8216  3 Pa 3.12
Te3 0.2409 0.2409 0.8179  2 Pa 3.04
Te4 0.7003 0.2409 0.8179  2 Pa 3.04
Te5 0.2409 0.7003 0.8179  2 Pa 3.04
Te6 0.7578 0.3029 0.1814  2 Pa 3.03
Te7 0.3029 0.7578 0.1814  2 Pa 3.03
Te8 0.7578 0.7578 0.1814  2 Pa 3.03

(4)
The following is a DFT calculation (PBE-GGA) of an optimized crystal structure of Cs2PaRh2S4.

Output
The energy relative to the elements, uncorrected is -1.064 eV/atom.

Lattice parameters (Å, degrees): 3.9747 7.5991 8.2469 107.34 90.00 105.16
With the nearest neighbours (Å) after each atom.
Fractional coordinates of all 9 atoms:
Cs1 0.8600 0.7200 0.4324  7 S 3.46-3.72, 1 Rh 3.74
Cs2 0.1400 0.2800 0.5676  7 S 3.46-3.72, 1 Rh 3.74
Pa1 0.0000 0.0000 0.0000  6 S 2.67-2.73
Rh1 0.3175 0.6350 0.0052  4 S 2.36-2.53
Rh2 0.6825 0.3650 0.9948  4 S 2.36-2.53
S1 0.8106 0.6212 0.8481  3 Rh 2.36-2.53
S2 0.1894 0.3788 0.1519  3 Rh 2.36-2.53
S3 0.4801 0.9601 0.2139  1 Rh 2.47, 2 Pa 2.73
S4 0.5199 0.0399 0.7861  1 Rh 2.47, 2 Pa 2.73

(5)
The following is a DFT calculation (PBE-GGA) of an optimized crystal structure of CsPa4Rh3S12.

Output
The energy relative to the elements, uncorrected is -1.091 eV/atom.

Lattice parameters (Å, degrees): 8.4603 8.4603 8.4603 109.47 109.47 109.47
With the nearest neighbours (Å) after each atom.
Fractional coordinates of all 20 atoms:
Cs1 0.0000 0.0000 0.0000  12 S 3.53
Pa1 0.5000 0.0000 0.0000  6 S 2.68
Pa2 0.5000 0.5000 0.5000  6 S 2.68
Pa3 0.0000 0.5000 0.0000  6 S 2.68
Pa4 0.0000 0.0000 0.5000  6 S 2.68
Rh1 0.0000 0.5000 0.5000  4 S 2.36
Rh2 0.5000 0.5000 0.0000  4 S 2.36
Rh3 0.5000 0.0000 0.5000  4 S 2.36
S1 0.3223 0.8366 0.1589  1 Rh 2.36
S2 0.6777 0.1634 0.8411  1 Rh 2.36
S3 0.6777 0.8366 0.5143  1 Rh 2.36
S4 0.8411 0.6777 0.1634  1 Rh 2.36
S5 0.8366 0.1589 0.3223  1 Rh 2.36
S6 0.1634 0.4857 0.3223  1 Rh 2.36
S7 0.4857 0.3223 0.1634  1 Rh 2.36
S8 0.1634 0.8411 0.6777  1 Rh 2.36
S9 0.3223 0.1634 0.4857  1 Rh 2.36
S10 0.1589 0.3223 0.8366  1 Rh 2.36
S11 0.8366 0.5143 0.6777  1 Rh 2.36
S12 0.5143 0.6777 0.8366  1 Rh 2.36

(6)
The following is a DFT calculation (PBE-GGA) of an optimized crystal structure of Cs3Pa3RhS8.

Output
The energy relative to the elements, uncorrected is -1.291 eV/atom.

Lattice parameters (Å, degrees): 7.9613 7.9348 9.4166 114.71 90.00 120.11
With the nearest neighbours (Å) after each atom.
Fractional coordinates of all 15 atoms:
Cs1 0.0000 0.0000 0.0000  6 S 3.46-3.52
Cs2 0.0000 0.5000 0.0000  6 S 3.46-3.52
Cs3 0.5000 0.5000 0.0000  6 S 3.46-3.52
Pa1 0.5000 0.0000 0.5000  6 S 2.72-2.76
Pa2 0.5000 0.5000 0.5000  6 S 2.72-2.76
Pa3 0.0000 0.5000 0.5000  6 S 2.72-2.76
Rh1 0.0000 0.0000 0.5000  6 S 2.69-2.71
S1 0.2712 0.5423 0.3139  3 Pa 2.76
S2 0.7288 0.4577 0.6861  3 Pa 2.76
S3 0.7770 0.5540 0.3255  1 Rh 2.69, 2 Pa 2.72
S4 0.2230 0.4460 0.6745  1 Rh 2.69, 2 Pa 2.72
S5 0.7747 0.0489 0.3237  1 Rh 2.71, 2 Pa 2.72
S6 0.2253 0.9511 0.6763  1 Rh 2.71, 2 Pa 2.72
S7 0.2742 0.0489 0.3237  1 Rh 2.71, 2 Pa 2.72
S8 0.7258 0.9511 0.6763  1 Rh 2.71, 2 Pa 2.72

(7)
The following is a DFT calculation (PBE-GGA) of an optimized crystal structure of Cs2PaRh2S6.

Output
The energy relative to the elements, uncorrected is -0.798 eV/atom.

Lattice parameters (Å, degrees): 7.3281 6.8051 8.4287 105.99 90.00 122.58
With the nearest neighbours (Å) after each atom.
Fractional coordinates of all 11 atoms:
Cs1 0.7022 0.4045 0.1304  7 S 3.54-3.72
Cs2 0.2978 0.5955 0.8696  7 S 3.54-3.72
Pa1 0.5000 0.0000 0.5000  6 S 2.61-2.66
Rh1 0.9388 0.8776 0.6027  3 S 2.24-2.25
Rh2 0.0612 0.1224 0.3973  3 S 2.24-2.25
S1 0.7402 0.4803 0.5860  1 Rh 2.24
S2 0.2353 0.9582 0.2582  1 Rh 2.25
S3 0.2771 0.0418 0.7418  1 Rh 2.25
S4 0.7647 0.0418 0.7418  1 Rh 2.25
S5 0.7229 0.9582 0.2582  1 Rh 2.25
S6 0.2599 0.5197 0.4140  1 Rh 2.24

(8)
The following is a DFT calculation (PBE-GGA) of an optimized crystal structure of Cs3PaRh2Se6.

Output
The energy relative to the elements, uncorrected is -0.861 eV/atom.

Lattice parameters (Å, degrees): 6.8730 6.8730 8.6387 97.68 97.68 120.06
With the nearest neighbours (Å) after each atom.
Fractional coordinates of all 12 atoms:
Cs1 0.1636 0.8364 0.5000  6 Se 3.49-3.63, 1 Cs 3.90
Cs2 0.8364 0.1636 0.5000  6 Se 3.49-3.63, 1 Cs 3.90
Cs3 0.5000 0.5000 0.5000  6 Se 3.48-3.63
Pa1 0.0000 0.0000 0.0000  6 Se 2.83-2.84
Rh1 0.3337 0.6663 0.0000  6 Se 2.62-2.63
Rh2 0.6663 0.3337 0.0000  6 Se 2.62-2.63
Se1 0.9435 0.5856 0.8295  2 Rh 2.63, 1 Pa 2.84
Se2 0.6990 0.6990 0.1694  2 Rh 2.62, 1 Pa 2.83
Se3 0.0565 0.4144 0.1705  2 Rh 2.63, 1 Pa 2.84
Se4 0.5856 0.9435 0.8295  2 Rh 2.63, 1 Pa 2.84
Se5 0.3010 0.3010 0.8306  2 Rh 2.62, 1 Pa 2.83
Se6 0.4144 0.0565 0.1705  2 Rh 2.63, 1 Pa 2.84